1.
The following is a PBE calculation of a relaxed structure of PrErSiHg, from the Alexandria database.

Unit cell a=5.1982 b=5.1982 c=5.1982 alpha=60.00 beta=60.00 gamma=60.00
Sites, in units of the cell vectors:
Si1 0.7500 0.7500 0.7500
Pr1 0.0000 0.0000 0.0000
Er1 0.5000 0.5000 0.5000
Hg1 0.2500 0.2500 0.2500

Results
E ... -4.21 eV per atom
Magnetic moment ... 0.0 μB/f.u.
SG ... F-43m (216)
Mass density ... 8.98 g cm⁻³



2.
The following is a PBE calculation of a relaxed structure of Ag2TeAsPd, from the Alexandria database.

Unit cell a=5.2590 b=5.0657 c=5.2590 alpha=90.00 beta=90.00 gamma=90.00
Each line ends with the local moment (μB).
Sites, in units of the cell vectors:
Ag1 0.5000 0.0000 0.0000  0.08
Ag2 0.0000 0.0000 0.5000  0.05
Te1 0.0000 0.0000 0.0000  0.11
As1 0.5000 0.5000 0.5000  0.80
Pd1 0.0000 0.5000 0.0000  0.19

Results
E ... -3.05 eV per atom
Magnetic moment ... 2.3 μB/f.u.
SG ... P4/mmm (123)
Mass density ... 6.22 g cm⁻³



3.
The following is a PBE calculation of a relaxed structure of ZrVTc2, from the Alexandria database.

Unit cell a=3.1883 b=4.4654 c=4.4654 alpha=90.00 beta=90.00 gamma=90.00
Sites, in units of the cell vectors:
V1 0.5000 0.0000 0.0000
Zr1 0.5000 0.5000 0.5000
Tc1 0.0000 0.5000 0.0000
Tc2 0.0000 0.0000 0.5000

Results
E ... -9.85 eV per atom
Magnetic moment ... 0.0 μB/f.u.
SG ... P4/mmm (123)
Mass density ... 8.83 g cm⁻³



Please write out number 3 again, unchanged.
The following is a PBE calculation of a relaxed structure of ZrVTc2, from the Alexandria database.

Unit cell a=3.1883 b=4.4654 c=4.4654 alpha=90.00 beta=90.00 gamma=90.00
Sites, in units of the cell vectors:
V1 0.5000 0.0000 0.0000
Zr1 0.5000 0.5000 0.5000
Tc1 0.0000 0.5000 0.0000
Tc2 0.0000 0.0000 0.5000

Results
E ... -9.85 eV per atom
Magnetic moment ... 0.0 μB/f.u.
SG ... P4/mmm (123)
Mass density ... 8.83 g cm⁻³